{
  "formula": "RbNa8Ag4",
  "functional": "PBE",
  "state": "optimized geometry",
  "space_group": "I4/mmm, No. 139",
  "magmom_total_mub_per_cell": 0.00,
  "final_energy_ry_per_atom": -0.1299,
  "e_form_kj_per_mol_atoms": 0,
  "cell": [[-4.886, 3.464, -0.254], [-6.994, -4.629, 0.685], [-2.243, 2.586, 7.688]],
  "species": ["Na", "Na", "Na", "Na", "Na", "Na", "Na", "Na", "Ag", "Ag", "Ag", "Ag", "Rb"],
  "frac_coords": [[0.000, 0.342, 0.658], [0.274, 0.226, 0.226], [0.726, 0.774, 0.774], [0.500, 0.226, 0.774], [0.500, 0.774, 0.226], [0.658, 0.342, 0.342], [0.342, 0.658, 0.658], [0.000, 0.658, 0.342], [0.500, 0.000, 0.500], [0.000, 0.000, 0.500], [0.000, 0.500, 0.000], [0.500, 0.500, 0.000], [0.000, 0.000, 0.000]]
}